Run A
! Ta2CrSe6 | the Alexandria database | PBE | relaxed; values from VASP
&SYSTEM
  ibrav = 0, nat = 9, ntyp = 3
/
ATOMIC_SPECIES
Ta 180.95 Ta.upf
Cr 52.00 Cr.upf
Se 78.96 Se.upf
CELL_PARAMETERS angstrom
8.6241 -1.7626 0.0000
8.6241 1.7626 0.0000
-3.2994 0.0000 7.3313
ATOMIC_POSITIONS crystal
Ta 0.1568 0.1568 0.3205
Ta 0.8432 0.8432 0.6795
Cr 0.5000 0.5000 0.0000
Se 0.0012 0.0012 0.7738
Se 0.3275 0.3275 0.4285
Se 0.3414 0.3414 0.9149
Se 0.6586 0.6586 0.0851
Se 0.6725 0.6725 0.5715
Se 0.9988 0.9988 0.2262
! - D(E_F) (states/eV/cell) = 3.3

Run B
! Ta2CrSe6 | the Alexandria database | PBE | relaxed; values from VASP
&SYSTEM
  ibrav = 0, nat = 18, ntyp = 3
/
ATOMIC_SPECIES
Ta 180.95 Ta.upf
Cr 52.00 Cr.upf
Se 78.96 Se.upf
CELL_PARAMETERS angstrom
6.0036 0.0000 0.0000
0.0000 6.2910 0.0000
-5.9290 0.0000 10.8102
ATOMIC_POSITIONS crystal
Ta 0.1694 0.1331 0.2501
Ta 0.1694 0.3669 0.7501
Ta 0.8306 0.6331 0.2499
Ta 0.8306 0.8669 0.7499
Cr 0.5000 0.0000 0.0000
Cr 0.5000 0.5000 0.5000
Se 0.0735 0.1758 0.9100
Se 0.0735 0.3242 0.4100
Se 0.2226 0.6651 0.9113
Se 0.2226 0.8349 0.4113
Se 0.4652 0.0601 0.7854
Se 0.4652 0.4399 0.2854
Se 0.5348 0.5601 0.7146
Se 0.5348 0.9399 0.2146
Se 0.7774 0.1651 0.5887
Se 0.7774 0.3349 0.0887
Se 0.9265 0.6758 0.5900
Se 0.9265 0.8242 0.0900
! - D(E_F) (states/eV/cell) = 7.4

Consider the structures shown above. The most stable of them is run A.